(1)
# GeAsPt3 PBEsol relaxed
# E: -5.66 eV per atom
# calculated volume: 99.0 Å³/cell
# E_form: 2.64 eV per formula unit
data_GeAsPt3
_chemical_formula_sum 'Ge1 As1 Pt3'
_space_group_name_H-M_alt 'P m -3 m'
_space_group_IT_number 221
_space_group_name_Hall '-P 4 2 3'
_cell_length_a 4.626
_cell_length_b 4.626
_cell_length_c 4.626
_cell_angle_alpha 90.00
_cell_angle_beta 90.00
_cell_angle_gamma 90.00
loop_
_atom_site_label
_atom_site_fract_x
_atom_site_fract_y
_atom_site_fract_z
Ge1 0.000 0.000 0.000
As1 0.500 0.500 0.500
Pt1 0.000 0.500 0.500


(2)
# MgAlPd3 PBEsol relaxed
# E: -4.30 eV per atom
# calculated volume: 90.6 Å³/cell
# E_form: 2.19 eV per formula unit
data_MgAlPd3
_chemical_formula_sum 'Mg1 Al1 Pd3'
_space_group_name_H-M_alt 'P m -3 m'
_space_group_IT_number 221
_space_group_name_Hall '-P 4 2 3'
_cell_length_a 4.491
_cell_length_b 4.491
_cell_length_c 4.491
_cell_angle_alpha 90.00
_cell_angle_beta 90.00
_cell_angle_gamma 90.00
loop_
_atom_site_label
_atom_site_fract_x
_atom_site_fract_y
_atom_site_fract_z
Mg1 0.000 0.000 0.000
Al1 0.500 0.500 0.500
Pd1 0.000 0.000 0.500


(3)
# LaInRh2 PBEsol relaxed
# E: -6.60 eV per atom
# calculated volume: 76.2 Å³/cell
# E_form: -1.79 eV per formula unit
data_LaInRh2
_chemical_formula_sum 'La1 In1 Rh2'
_space_group_name_H-M_alt 'P 4/m m m'
_space_group_IT_number 123
_space_group_name_Hall '-P 4 2'
_cell_length_a 3.414
_cell_length_b 3.414
_cell_length_c 6.536
_cell_angle_alpha 90.00
_cell_angle_beta 90.00
_cell_angle_gamma 90.00
loop_
_atom_site_label
_atom_site_fract_x
_atom_site_fract_y
_atom_site_fract_z
La1 0.000 0.000 0.000
In1 0.000 0.000 0.500
Rh1 0.500 0.500 0.279


(4)
# BaSeIN2 PBEsol relaxed
# E: -3.54 eV per atom
# calculated volume: 164.9 Å³/cell
# relative energy among the computed polymorphs: 71.36 kJ/mol of atoms
data_BaSeIN2
_chemical_formula_sum 'Ba1 Se1 I1 N2'
_space_group_name_H-M_alt 'P 4/m m m'
_space_group_IT_number 123
_space_group_name_Hall '-P 4 2'
_cell_length_a 5.025
_cell_length_b 5.025
_cell_length_c 6.529
_cell_angle_alpha 90.00
_cell_angle_beta 90.00
_cell_angle_gamma 90.00
loop_
_atom_site_label
_atom_site_fract_x
_atom_site_fract_y
_atom_site_fract_z
Ba1 0.000 0.000 0.000
Se1 0.000 0.000 0.500
I1 0.500 0.500 0.500
N1 0.000 0.500 0.000


(5)
# RuPt2Rh PBEsol relaxed
# E: -8.03 eV per atom
# calculated volume: 113.1 Å³/cell
# relative energy among the computed polymorphs: 6.85 kJ/mol of atoms
# E_form: 0.13 eV per formula unit
data_RuPt2Rh
_chemical_formula_sum 'Ru2 Pt4 Rh2'
_space_group_name_H-M_alt 'C m m m'
_space_group_IT_number 65
_space_group_name_Hall '-C 2 2'
_cell_length_a 5.426
_cell_length_b 7.702
_cell_length_c 2.706
_cell_angle_alpha 90.00
_cell_angle_beta 90.00
_cell_angle_gamma 90.00
loop_
_atom_site_label
_atom_site_fract_x
_atom_site_fract_y
_atom_site_fract_z
Ru1 0.000 0.000 0.000
Pt1 0.250 0.250 0.500
Rh1 0.000 0.500 0.000


(6)
# Sc3BeO PBEsol relaxed
# E: -7.08 eV per atom
# calculated volume: 78.1 Å³/cell
data_Sc3BeO
_chemical_formula_sum 'Sc3 Be1 O1'
_space_group_name_H-M_alt 'P m -3 m'
_space_group_IT_number 221
_space_group_name_Hall '-P 4 2 3'
_cell_length_a 4.275
_cell_length_b 4.275
_cell_length_c 4.275
_cell_angle_alpha 90.00
_cell_angle_beta 90.00
_cell_angle_gamma 90.00
loop_
_atom_site_label
_atom_site_fract_x
_atom_site_fract_y
_atom_site_fract_z
Sc1 0.000 0.000 0.500
Be1 0.500 0.500 0.500
O1 0.000 0.000 0.000


(7)
# TcICl2 PBEsol relaxed
# E: -4.11 eV per atom
# calculated volume: 283.1 Å³/cell
data_TcICl2
_chemical_formula_sum 'Tc3 I3 Cl6'
_space_group_name_H-M_alt 'R -3 m'
_space_group_IT_number 166
_space_group_name_Hall '-R 3 2"'
_cell_length_a 3.0735
_cell_length_b 3.0735
_cell_length_c 34.6095
_cell_angle_alpha 90.00
_cell_angle_beta 90.00
_cell_angle_gamma 120.00
loop_
_atom_site_label
_atom_site_fract_x
_atom_site_fract_y
_atom_site_fract_z
Tc1 0.0000 0.0000 0.0000
I1 0.0000 0.0000 0.5000
Cl1 0.0000 0.0000 0.0631


(8)
# TlReP2 PBEsol relaxed
# E: -6.62 eV per atom
# calculated volume: 380.4 Å³/cell
# relative energy among the computed polymorphs: 2.52 kJ/mol of atoms
# E_form: 1.07 eV per formula unit
data_TlReP2
_chemical_formula_sum 'Tl4 Re4 P8'
_space_group_name_H-M_alt 'I -4 2 d'
_space_group_IT_number 122
_space_group_name_Hall 'I -4 2bw'
_cell_length_a 5.798
_cell_length_b 5.798
_cell_length_c 11.314
_cell_angle_alpha 90.00
_cell_angle_beta 90.00
_cell_angle_gamma 90.00
loop_
_atom_site_label
_atom_site_fract_x
_atom_site_fract_y
_atom_site_fract_z
Tl1 0.000 0.000 0.000
Re1 0.000 0.000 0.500
P1 0.165 0.250 0.625


(9)
# Ba2TcPPb PBEsol relaxed
# E: -4.74 eV per atom
# calculated volume: 158.1 Å³/cell
# E_form: 1.66 eV per formula unit
data_Ba2TcPPb
_chemical_formula_sum 'Ba2 Tc1 P1 Pb1'
_space_group_name_H-M_alt 'P 4/m m m'
_space_group_IT_number 123
_space_group_name_Hall '-P 4 2'
_cell_length_a 5.528
_cell_length_b 5.528
_cell_length_c 5.172
_cell_angle_alpha 90.00
_cell_angle_beta 90.00
_cell_angle_gamma 90.00
loop_
_atom_site_label
_atom_site_fract_x
_atom_site_fract_y
_atom_site_fract_z
Ba1 0.000 0.500 0.000
Tc1 0.000 0.000 0.000
P1 0.500 0.500 0.500
Pb1 0.000 0.000 0.500


(10)
# NaHg2Au2 PBEsol relaxed
# E: -2.18 eV per atom
# calculated volume: 215.6 Å³/cell
# E_form: -0.53 eV per formula unit
data_NaHg2Au2
_chemical_formula_sum 'Na2 Hg4 Au4'
_space_group_name_H-M_alt 'I 4/m m m'
_space_group_IT_number 139
_space_group_name_Hall '-I 4 2'
_cell_length_a 3.941
_cell_length_b 3.941
_cell_length_c 13.884
_cell_angle_alpha 90.00
_cell_angle_beta 90.00
_cell_angle_gamma 90.00
loop_
_atom_site_label
_atom_site_fract_x
_atom_site_fract_y
_atom_site_fract_z
Na1 0.000 0.000 0.000
Hg1 0.000 0.000 0.399
Au1 0.000 0.500 0.250


(11)
# Ho2Fe3Si5 PBEsol relaxed
# E: -7.35 eV per atom
# calculated volume: 563.6 Å³/cell
data_Ho2Fe3Si5
_chemical_formula_sum 'Ho8 Fe12 Si20'
_space_group_name_H-M_alt 'P 4/m n c'
_space_group_IT_number 128
_space_group_name_Hall '-P 4 2n'
_cell_length_a 10.228
_cell_length_b 10.228
_cell_length_c 5.387
_cell_angle_alpha 90.00
_cell_angle_beta 90.00
_cell_angle_gamma 90.00
loop_
_atom_site_label
_atom_site_fract_x
_atom_site_fract_y
_atom_site_fract_z
Ho1 0.069 0.236 0.000
Fe1 0.000 0.500 0.250
Fe2 0.123 0.856 0.500
Si1 0.000 0.000 0.265
Si2 0.023 0.320 0.500
Si3 0.178 0.678 0.250


> The lowest calculated volume belongs to which entry?

LaInRh2